Entry 1:
# GGA-PBE PrGd2Al, relaxed
# excess energy over the best structure of this formula in the dataset: 0.0 kJ/mol of atoms
# density of states at the Fermi level: 4.03 states/eV/cell
# ΔE_f: -0.1864 eV/atom
data_PrGd2Al
_chemical_formula_sum 'Pr1 Gd2 Al1'
_space_group_name_H-M_alt 'P 4/m m m'
_space_group_IT_number 123
_space_group_name_Hall '-P 4 2'
_cell_length_a 3.556
_cell_length_b 3.556
_cell_length_c 9.241
_cell_angle_alpha 90.00
_cell_angle_beta 90.00
_cell_angle_gamma 90.00
loop_
_atom_site_label
_atom_site_type_symbol
_atom_site_fract_x
_atom_site_fract_y
_atom_site_fract_z
Pr1 Pr 0.000 0.000 0.000
Gd1 Gd 0.500 0.500 0.291
Al1 Al 0.000 0.000 0.500

***

Entry 2:
# GGA-PBE PrGd2Al, relaxed
# excess energy over the best structure of this formula in the dataset: 14.7 kJ/mol of atoms
# density of states at the Fermi level: 24.83 states/eV/cell
# ΔE_f: -0.0336 eV/atom
data_PrGd2Al
_chemical_formula_sum 'Pr4 Gd8 Al4'
_space_group_name_H-M_alt 'F m -3 m'
_space_group_IT_number 225
_space_group_name_Hall '-F 4 2 3'
_cell_length_a 7.693
_cell_length_b 7.693
_cell_length_c 7.693
_cell_angle_alpha 90.00
_cell_angle_beta 90.00
_cell_angle_gamma 90.00
loop_
_atom_site_label
_atom_site_type_symbol
_atom_site_fract_x
_atom_site_fract_y
_atom_site_fract_z
Pr1 Pr 0.000 0.000 0.000
Gd1 Gd 0.250 0.250 0.250
Al1 Al 0.000 0.000 0.500

***

Entry 3:
# GGA-PBE PrGd2Al, relaxed
# excess energy over the best structure of this formula in the dataset: 45.9 kJ/mol of atoms
# density of states at the Fermi level: 12.42 states/eV/cell
# ΔE_f: 0.2898 eV/atom
data_PrGd2Al
_chemical_formula_sum 'Pr3 Gd6 Al3'
_space_group_name_H-M_alt 'R -3 m'
_space_group_IT_number 166
_space_group_name_Hall '-R 3 2"'
_cell_length_a 3.4969
_cell_length_b 3.4969
_cell_length_c 36.0706
_cell_angle_alpha 90.00
_cell_angle_beta 90.00
_cell_angle_gamma 120.00
loop_
_atom_site_label
_atom_site_type_symbol
_atom_site_fract_x
_atom_site_fract_y
_atom_site_fract_z
Pr1 Pr 0.0000 0.0000 0.0000
Gd1 Gd 0.0000 0.0000 0.4150
Al1 Al 0.0000 0.0000 0.5000